No. 1
A plane-wave DFT calculation with GGA-PBE was carried out for crystalline HfSc2NbCd at its relaxed geometry.

As for the total energy: -28.1 eV per cell. The space group is No. 123.

Lattice parameters (Å, degrees): 5.0405 5.2166 5.0405 90.00 90.00 90.00
Atoms (fractional coordinates):
Hf  0.5000  0.5000  0.5000
Sc  0.5000  0.0000  0.0000
Sc  0.0000  0.0000  0.5000
Cd  0.0000  0.0000  0.0000
Nb  0.0000  0.5000  0.0000

***

No. 2
A plane-wave DFT calculation with GGA-PBE was carried out for crystalline HfTiNbCd at its relaxed geometry.

The energy relative to the lowest polymorph listed for this composition comes out at 0.1172 eV/atom. The space group is No. 216.

Lattice parameters (Å, degrees): 4.7723 4.7723 4.7723 60.00 60.00 60.00
Atoms (fractional coordinates):
Nb  0.0000  0.0000  0.0000
Hf  0.7500  0.7500  0.7500
Ti  0.2500  0.2500  0.2500
Cd  0.5000  0.5000  0.5000

***

No. 3
A plane-wave DFT calculation with GGA-PBE was carried out for crystalline HfTiNbCd at its relaxed geometry.

The energy relative to the lowest polymorph listed for this composition comes out at 0.0000 eV/atom. The space group is No. 99.

Lattice parameters (Å, degrees): 3.3654 3.3654 6.9607 90.00 90.00 90.00
Atoms (fractional coordinates):
Nb  0.0000  0.0000  0.5879
Ti  0.5000  0.5000  0.7959
Cd  0.0000  0.0000  0.0554
Hf  0.5000  0.5000  0.3455

***

No. 4
A plane-wave DFT calculation with GGA-PBE was carried out for crystalline HfNbCd2W at its relaxed geometry.

As for the total energy: -25.0 eV per cell. The space group is No. 123.

Lattice parameters (Å, degrees): 5.1830 4.7519 5.1830 90.00 90.00 90.00
Atoms (fractional coordinates):
Cd  0.5000  0.0000  0.0000
Cd  0.0000  0.0000  0.5000
W  0.0000  0.5000  0.0000
Nb  0.5000  0.5000  0.5000
Hf  0.0000  0.0000  0.0000

***

No. 5
A plane-wave DFT calculation with GGA-PBE was carried out for crystalline HfNb2CdW at its relaxed geometry.

As for the total energy: -38.5 eV per cell. The space group is No. 123.

Lattice parameters (Å, degrees): 4.8712 5.1205 4.8712 90.00 90.00 90.00
Atoms (fractional coordinates):
Nb  0.5000  0.0000  0.0000
Nb  0.0000  0.0000  0.5000
Cd  0.5000  0.5000  0.5000
Hf  0.0000  0.5000  0.0000
W  0.0000  0.0000  0.0000

***

No. 6
A plane-wave DFT calculation with GGA-PBE was carried out for crystalline Hf2CdNi2 at its relaxed geometry.

As for the total energy: -32.7 eV per cell. The space group is No. 139.

Lattice parameters (Å, degrees): 3.3349 3.3349 8.5672 78.78 78.78 90.00
Atoms (fractional coordinates):
Cd  0.0000  0.0000  0.0000
Ni  0.2500  0.7500  0.5000
Ni  0.7500  0.2500  0.5000
Hf  0.3721  0.3721  0.2557
Hf  0.6279  0.6279  0.7443

***

| no. | total magnetization (Bohr magnetons per cell) | V (Å³ per atom) |
| --- | --- | --- |
| 1 | 0.00 | 26.507 |
| 2 | 0.00 | 19.214 |
| 3 | 0.00 | 19.709 |
| 4 | 0.00 | 25.530 |
| 5 | 0.00 | 24.300 |
| 6 | 0.00 | 18.320 |